# 1
Cs2TcClF5 | PBE | optimized geometry

Unit cell a=6.6275 b=6.6275 c=6.6275 alpha=95.61 beta=116.81 gamma=116.81
Last column: nearest neighbours and their distance in Å.
Atoms (fractional coordinates):
Tc 0.0000 0.0026 0.0026  5 F 1.97
F 0.4016 0.2059 0.2059  1 Tc 1.97
Cl 0.0000 0.7360 0.7360  1 Tc 2.37
F 0.0000 0.2059 0.8042  1 Tc 1.97
F 0.0000 0.2237 0.2237  1 Tc 1.97
Cs 0.5000 0.7588 0.2588  10 F 3.33-3.49, 2 Cl 3.48
F 0.5984 0.8042 0.8042  1 Tc 1.97
F 0.0000 0.8042 0.2059  1 Tc 1.97
Cs 0.5000 0.2588 0.7588  10 F 3.33-3.49, 2 Cl 3.48

Values from the calculation:
The calculation puts the magnetization at 0.33 μB per atom. As for the energy: -0.36420 Ry/atom.

***

# 2
Cs4TeClF | PBE | optimized geometry

Unit cell a=6.8359 b=8.3782 c=11.7575 alpha=90.00 beta=113.35 gamma=90.00
Last column: nearest neighbours and their distance in Å.
Atoms (fractional coordinates):
Cs 0.9179 0.0054 0.2322  1 F 2.77
Cs 0.5958 0.2500 0.4435  1 F 2.76
Cs 0.6766 0.2500 0.8955  1 F 2.77
Cl 0.1500 0.2500 0.5109  4 Cs 3.44-3.65, 1 F 3.83
Te 0.3053 0.2500 0.0895  9 Cs 3.84-4.19
Cs 0.3234 0.7500 0.1045  1 F 2.77
F 0.1978 0.7500 0.3015  4 Cs 2.76-2.77
Cl 0.8500 0.7500 0.4891  4 Cs 3.44-3.65, 1 F 3.83
Cs 0.0821 0.5054 0.7678  1 F 2.77
F 0.8022 0.2500 0.6985  4 Cs 2.76-2.77
Te 0.6947 0.7500 0.9105  9 Cs 3.84-4.19
Cs 0.9179 0.4946 0.2322  1 F 2.77
Cs 0.4042 0.7500 0.5565  1 F 2.76
Cs 0.0821 0.9946 0.7678  1 F 2.77

Values from the calculation:
The calculation puts the magnetization at 0.00 μB per atom. As for the energy: -0.23292 Ry/atom.

***

Number 1: uncorrected formation energy -2.37 eV/atom. Number 2: uncorrected formation energy -1.70 eV/atom.